[1]
First-principles (PBE-GGA) data for a relaxed Pu2ThMo crystal, as listed in Alexandria.

Geometry as POSCAR:
```
Pu2ThMo
1.0
3.509 0.000 0.000
0.000 3.509 0.000
0.000 0.000 7.551
Pu Th Mo
2 1 1
Direct
0.000 0.000 0.212
0.000 0.000 0.788
0.500 0.500 0.500
0.500 0.500 0.000
```

- Space group: P4/mmm, No. 123
- Calculated volume: 23.2 Å³ per atom
- Magnetic moment: 9.78 μB per cell
- Energy of formation: 0.27 eV/atom

[2]
First-principles (PBE-GGA) data for a relaxed SmAg3Se3 crystal, as listed in Alexandria.

Geometry as POSCAR:
```
SmAg3Se3
1.0
7.556 0.000 0.000
3.778 6.544 0.000
3.778 2.181 6.975
Sm Se Ag
2 6 6
Direct
0.333 0.333 0.000
0.667 0.667 0.000
0.074 0.743 0.778
0.405 0.074 0.778
0.926 0.257 0.222
0.257 0.595 0.222
0.595 0.926 0.222
0.743 0.405 0.778
0.121 0.476 0.622
0.781 0.121 0.622
0.476 0.781 0.622
0.524 0.219 0.378
0.879 0.524 0.378
0.219 0.879 0.378
```

- Space group: R-3, No. 148
- Calculated volume: 24.6 Å³ per atom
- Magnetic moment: 0.00 μB per cell
- Uncorrected formation energy: -5.038 eV per formula unit

[3]
First-principles (PBE-GGA) data for a relaxed Sr3Zn3Ga8 crystal, as listed in Alexandria.

Geometry as POSCAR:
```
Sr3Zn3Ga8
1.0
-3.952 -1.660 1.409
-2.591 -5.262 -6.244
1.617 -8.123 2.189
Sr Ga Zn
3 8 3
Direct
0.198 0.802 0.802
0.500 0.500 0.500
0.802 0.198 0.198
0.357 0.925 0.362
0.844 0.520 0.793
0.357 0.362 0.925
0.156 0.480 0.207
0.156 0.207 0.480
0.844 0.793 0.520
0.643 0.638 0.075
0.643 0.075 0.638
0.000 0.811 0.189
0.500 0.000 0.000
0.000 0.189 0.811
```

- Space group: Immm, No. 71
- Calculated volume: 21.1 Å³ per atom
- Magnetic moment: 0.00 μB per cell
- Energy relative to the lowest polymorph listed for this composition: 0 meV/atom
- Energy of formation: -0.35 eV/atom

[4]
First-principles (PBE-GGA) data for a relaxed KLi2Ir crystal, as listed in Alexandria.

Geometry as POSCAR:
```
KLi2Ir
1.0
-1.912 6.207 -2.015
-6.203 1.311 -2.459
4.682 -1.651 4.647
Ir Li K
1 2 1
Direct
0.750 0.250 0.500
0.935 0.935 0.000
0.565 0.565 0.000
0.250 0.750 0.500
```

- Space group: Immm, No. 71
- Calculated volume: 23.8 Å³ per atom
- Magnetic moment: 0.00 μB per cell
- Energy relative to the lowest polymorph listed for this composition: 122 meV/atom
- Energy of formation: 0.34 eV/atom

[5]
First-principles (PBE-GGA) data for a relaxed Na2Sn2Ru crystal, as listed in Alexandria.

Geometry as POSCAR:
```
Na2Sn2Ru
1.0
6.936 0.000 0.000
0.000 6.936 0.000
0.000 0.000 5.285
Ru Na Sn
2 4 4
Direct
0.000 0.000 0.000
0.500 0.500 0.000
0.675 0.825 0.500
0.175 0.675 0.500
0.325 0.175 0.500
0.825 0.325 0.500
0.656 0.156 0.000
0.844 0.656 0.000
0.156 0.344 0.000
0.344 0.844 0.000
```

- Space group: P4/mbm, No. 127
- Calculated volume: 25.4 Å³ per atom
- Magnetic moment: 0.00 μB per cell
- Energy of formation: 0.10 eV/atom

[6]
First-principles (PBE-GGA) data for a relaxed Li2VW crystal, as listed in Alexandria.

Geometry as POSCAR:
```
Li2VW
1.0
-4.623 -2.364 -4.618
5.169 -2.623 -3.832
0.123 -4.544 -3.025
W Li V
2 4 2
Direct
0.000 0.000 0.000
0.750 0.250 0.500
0.136 0.625 0.250
0.375 0.386 0.750
0.614 0.125 0.250
0.875 0.864 0.750
0.250 0.750 0.500
0.500 0.500 0.000
```

- Space group: I-42d, No. 122
- Calculated volume: 14.4 Å³ per atom
- Magnetic moment: 0.89 μB per cell
- Energy relative to the lowest polymorph listed for this composition: 26 meV/atom
- Energy of formation: 0.95 eV/atom